# BaCaAcHg, relaxed, DFT GGA-PBE
data_BaCaAcHg
_space_group_name_H-M_alt 'F -4 3 m'
_space_group_IT_number 216
_space_group_name_Hall 'F -4 2 3'
_cell_length_a 8.5783
_cell_length_b 8.5783
_cell_length_c 8.5783
_cell_angle_alpha 90.00
_cell_angle_beta 90.00
_cell_angle_gamma 90.00
loop_
_atom_site_label
_atom_site_type_symbol
_atom_site_fract_x
_atom_site_fract_y
_atom_site_fract_z
_atom_site_occupancy
Ba1 Ba 0.0000 0.0000 0.0000 1
Ca1 Ca 0.2500 0.2500 0.2500 1
Ac1 Ac 0.0000 0.0000 0.5000 1
Hg1 Hg 0.2500 0.2500 0.7500 1
# * energy relative to the elements: -0.27 eV/f.u.
# * final energy: -8.6 eV/f.u.

---

# BaCaAcHo, relaxed, DFT GGA-PBE
data_BaCaAcHo
_space_group_name_H-M_alt 'F -4 3 m'
_space_group_IT_number 216
_space_group_name_Hall 'F -4 2 3'
_cell_length_a 8.8108
_cell_length_b 8.8108
_cell_length_c 8.8108
_cell_angle_alpha 90.00
_cell_angle_beta 90.00
_cell_angle_gamma 90.00
loop_
_atom_site_label
_atom_site_type_symbol
_atom_site_fract_x
_atom_site_fract_y
_atom_site_fract_z
_atom_site_occupancy
Ba1 Ba 0.0000 0.0000 0.0000 1
Ca1 Ca 0.2500 0.2500 0.2500 1
Ac1 Ac 0.2500 0.2500 0.7500 1
Ho1 Ho 0.0000 0.0000 0.5000 1
# * energy relative to the elements: 0.74 eV/f.u.
# * final energy: -11.9 eV/f.u.

---

# BaCaAcIn, relaxed, DFT GGA-PBE
data_BaCaAcIn
_space_group_name_H-M_alt 'F -4 3 m'
_space_group_IT_number 216
_space_group_name_Hall 'F -4 2 3'
_cell_length_a 8.5993
_cell_length_b 8.5993
_cell_length_c 8.5993
_cell_angle_alpha 90.00
_cell_angle_beta 90.00
_cell_angle_gamma 90.00
loop_
_atom_site_label
_atom_site_type_symbol
_atom_site_fract_x
_atom_site_fract_y
_atom_site_fract_z
_atom_site_occupancy
Ba1 Ba 0.0000 0.0000 0.0000 1
Ca1 Ca 0.0000 0.0000 0.5000 1
Ac1 Ac 0.2500 0.2500 0.7500 1
In1 In 0.2500 0.2500 0.2500 1
# * energy relative to the elements: 0.02 eV/f.u.
# * final energy: -10.8 eV/f.u.

---

# BaCa2AcIn4, relaxed, DFT GGA-PBE
data_BaCa2AcIn4
_space_group_name_H-M_alt 'R -3 m'
_space_group_IT_number 166
_space_group_name_Hall '-R 3 2"'
_cell_length_a 5.7137
_cell_length_b 5.7137
_cell_length_c 28.0212
_cell_angle_alpha 90.00
_cell_angle_beta 90.00
_cell_angle_gamma 120.00
loop_
_atom_site_label
_atom_site_type_symbol
_atom_site_fract_x
_atom_site_fract_y
_atom_site_fract_z
_atom_site_occupancy
Ba1 Ba 0.0000 0.0000 0.0000 1
Ca1 Ca 0.0000 0.0000 0.2503 1
Ac1 Ac 0.0000 0.0000 0.5000 1
In1 In 0.0000 0.0000 0.1263 1
In2 In 0.0000 0.0000 0.3771 1
# * energy relative to the elements: -3.45 eV/f.u.
# * final energy: -24.4 eV/f.u.

---

# BaCa2AcIr, relaxed, DFT GGA-PBE
data_BaCa2AcIr
_space_group_name_H-M_alt 'P 4/m m m'
_space_group_IT_number 123
_space_group_name_Hall '-P 4 2'
_cell_length_a 5.8175
_cell_length_b 5.8175
_cell_length_c 5.8149
_cell_angle_alpha 90.00
_cell_angle_beta 90.00
_cell_angle_gamma 90.00
loop_
_atom_site_label
_atom_site_type_symbol
_atom_site_fract_x
_atom_site_fract_y
_atom_site_fract_z
_atom_site_occupancy
Ba1 Ba 0.0000 0.0000 0.0000 1
Ca1 Ca 0.0000 0.5000 0.5000 1
Ac1 Ac 0.5000 0.5000 0.0000 1
Ir1 Ir 0.5000 0.5000 0.5000 1
# * energy relative to the elements: -1.34 eV/f.u.
# * final energy: -20.2 eV/f.u.

---

# BaCaAc2Ir, relaxed, DFT GGA-PBE
data_BaCaAc2Ir
_space_group_name_H-M_alt 'P 4/m m m'
_space_group_IT_number 123
_space_group_name_Hall '-P 4 2'
_cell_length_a 5.9216
_cell_length_b 5.9216
_cell_length_c 5.9578
_cell_angle_alpha 90.00
_cell_angle_beta 90.00
_cell_angle_gamma 90.00
loop_
_atom_site_label
_atom_site_type_symbol
_atom_site_fract_x
_atom_site_fract_y
_atom_site_fract_z
_atom_site_occupancy
Ba1 Ba 0.0000 0.0000 0.0000 1
Ca1 Ca 0.5000 0.5000 0.0000 1
Ac1 Ac 0.0000 0.5000 0.5000 1
Ir1 Ir 0.5000 0.5000 0.5000 1
# * energy relative to the elements: -1.57 eV/f.u.
# * final energy: -22.6 eV/f.u.

---

# BaLiCaAc, relaxed, DFT GGA-PBE
data_BaLiCaAc
_space_group_name_H-M_alt 'F -4 3 m'
_space_group_IT_number 216
_space_group_name_Hall 'F -4 2 3'
_cell_length_a 8.7909
_cell_length_b 8.7909
_cell_length_c 8.7909
_cell_angle_alpha 90.00
_cell_angle_beta 90.00
_cell_angle_gamma 90.00
loop_
_atom_site_label
_atom_site_type_symbol
_atom_site_fract_x
_atom_site_fract_y
_atom_site_fract_z
_atom_site_occupancy
Ba1 Ba 0.0000 0.0000 0.0000 1
Li1 Li 0.2500 0.2500 0.7500 1
Ca1 Ca 0.0000 0.0000 0.5000 1
Ac1 Ac 0.2500 0.2500 0.2500 1
# * energy relative to the elements: 0.82 eV/f.u.
# * final energy: -9.1 eV/f.u.

---

# BaCaAcLu, relaxed, DFT GGA-PBE
data_BaCaAcLu
_space_group_name_H-M_alt 'F -4 3 m'
_space_group_IT_number 216
_space_group_name_Hall 'F -4 2 3'
_cell_length_a 8.7757
_cell_length_b 8.7757
_cell_length_c 8.7757
_cell_angle_alpha 90.00
_cell_angle_beta 90.00
_cell_angle_gamma 90.00
loop_
_atom_site_label
_atom_site_type_symbol
_atom_site_fract_x
_atom_site_fract_y
_atom_site_fract_z
_atom_site_occupancy
Ba1 Ba 0.0000 0.0000 0.0000 1
Ca1 Ca 0.2500 0.2500 0.2500 1
Ac1 Ac 0.2500 0.2500 0.7500 1
Lu1 Lu 0.0000 0.0000 0.5000 1
# * energy relative to the elements: 0.79 eV/f.u.
# * final energy: -11.8 eV/f.u.

---

The highest final energy belongs to which entry?
BaCaAcHg